[1]
A geometry-optimized La8PrRh2 structure, computed with PBE-GGA.

Summary:
Crystal system: monoclinic
DFT total energy in eV per atom: -5.591
Calculated density in Mg/m³: 6.64
DOS at the Fermi energy in states/eV/f.u.: 14.8

Lattice parameters (Å, degrees): 8.8180 14.4347 5.8387 90.00 100.97 90.00
Closest atoms and distances in Å follow each position.
Space group C2/m (No. 12)
Symmetry-distinct sites (fractional):
La  0.0000  0.2440  0.0000 x4  2 Rh 2.97
La  0.0924  0.0000  0.7897 x4  4 La 3.20-3.49, 2 Rh 3.45, 1 Pr 3.57
La  0.2090  0.3724  0.5670 x8  2 Rh 2.90-3.00
Pr  0.0000  0.5000  0.0000 x2  12 La 3.57-3.93
Rh  0.0000  0.2066  0.5000 x4  6 La 2.90-3.00



[2]
A geometry-optimized La2PrRh structure, computed with PBE-GGA.

Summary:
Crystal system: orthorhombic
ΔE to the lowest computed polymorph in meV/atom: 0
Calculated density in Mg/m³: 7.00
DOS at the Fermi energy in states/eV/f.u.: 5.1

Lattice parameters (Å, degrees): 7.4126 10.1948 6.5519 90.00 90.00 90.00
Closest atoms and distances in Å follow each position.
Space group Pnma (No. 62)
Symmetry-distinct sites (fractional):
La  0.1708  0.0676  0.1684 x8  2 Rh 2.90-2.91
Pr  0.0343  0.2500  0.6496 x4  2 Rh 2.98-3.08
Rh  0.1219  0.7500  0.9142 x4  4 La 2.90-2.91, 2 Pr 2.98-3.08



[3]
A geometry-optimized LaPrRh structure, computed with PBE-GGA.

Summary:
Crystal system: tetragonal
ΔE to the lowest computed polymorph in meV/atom: 100
Calculated density in Mg/m³: 7.26
DOS at the Fermi energy in states/eV/f.u.: 3.3

Lattice parameters (Å, degrees): 3.6143 3.6143 13.4016 90.00 90.00 90.00
Closest atoms and distances in Å follow each position.
Space group I4mm (No. 107)
Symmetry-distinct sites (fractional):
La  0.0000  0.0000  0.0000 x2  4 Rh 3.04, 1 Pr 3.35
Pr  0.0000  0.0000  0.7498 x2  4 Rh 3.07, 1 La 3.35
Rh  0.0000  0.0000  0.3767 x2  4 La 3.04, 4 Pr 3.07



[4]
A geometry-optimized LaPr2Rh structure, computed with PBE-GGA.

Summary:
Crystal system: orthorhombic
ΔE to the lowest computed polymorph in meV/atom: 0
Calculated density in Mg/m³: 7.05
DOS at the Fermi energy in states/eV/f.u.: 5.0

Lattice parameters (Å, degrees): 7.3844 10.1467 6.5877 90.00 90.00 90.00
Closest atoms and distances in Å follow each position.
Space group Pnma (No. 62)
Symmetry-distinct sites (fractional):
La  0.0407  0.2500  0.1491 x4  2 Rh 2.81-2.95
Pr  0.1735  0.0673  0.6691 x8  2 Rh 2.98
Rh  0.1263  0.7500  0.4437 x4  2 La 2.81-2.95, 4 Pr 2.98



[5]
A geometry-optimized LaPr4Rh2 structure, computed with PBE-GGA.

Summary:
Crystal system: monoclinic
DFT total energy in eV per atom: -5.888
Calculated density in Mg/m³: 7.33
DOS at the Fermi energy in states/eV/f.u.: 8.4

Lattice parameters (Å, degrees): 8.1709 6.7611 8.1893 90.00 114.59 90.00
Closest atoms and distances in Å follow each position.
Space group P2_1/m (No. 11)
Symmetry-distinct sites (fractional):
La  0.0337  0.2500  0.1551 x2  1 Rh 2.70
Pr  0.2351  0.5071  0.5914 x4  4 Rh 3.18-3.35, 3 Pr 3.28-3.50
Pr  0.3409  0.7500  0.2594 x2  2 Rh 2.81-2.96
Pr  0.3821  0.2500  0.0125 x2  2 Rh 2.84-2.89
Rh  0.0095  0.2500  0.7574 x2  2 Pr 2.81-2.89
Rh  0.3909  0.2500  0.3624 x2  1 La 2.70, 2 Pr 2.84-2.96



[6]
A geometry-optimized LaPrRh structure, computed with PBE-GGA.

Summary:
Crystal system: monoclinic
ΔE to the lowest computed polymorph in meV/atom: 35
Calculated density in Mg/m³: 7.07
DOS at the Fermi energy in states/eV/f.u.: 2.6

Lattice parameters (Å, degrees): 5.7533 4.7993 6.7241 90.00 104.45 90.00
Closest atoms and distances in Å follow each position.
Space group P2_1/m (No. 11)
Symmetry-distinct sites (fractional):
La  0.0769  0.2500  0.3001 x2  1 Rh 2.75
Pr  0.4819  0.2500  0.8082 x2  3 Rh 2.91-2.95
Rh  0.3364  0.7500  0.5651 x2  1 La 2.75, 3 Pr 2.91-2.95



[7]
A geometry-optimized La3Pr4Rh4 structure, computed with PBE-GGA.

Summary:
Crystal system: orthorhombic
DFT total energy in eV per atom: -6.237
Calculated density in Mg/m³: 7.79
DOS at the Fermi energy in states/eV/f.u.: 8.6

Lattice parameters (Å, degrees): 4.7381 7.9245 15.8093 90.00 90.00 90.00
Closest atoms and distances in Å follow each position.
Space group Immm (No. 71)
Symmetry-distinct sites (fractional):
La  0.0000  0.0000  0.0000 x2  6 Rh 3.22-3.45
La  0.0000  0.5000  0.0949 x4  1 La 3.00, 4 Rh 3.16
Pr  0.0000  0.2831  0.3317 x8  4 Rh 2.77-3.02
Rh  0.0000  0.0000  0.2034 x4  6 Pr 2.98-3.02, 1 La 3.22
Rh  0.0000  0.1841  0.5000 x4  2 Pr 2.77, 1 Rh 2.92



[8]
A geometry-optimized LaPr6Rh4 structure, computed with PBE-GGA.

Summary:
Crystal system: triclinic
DFT total energy in eV per atom: -6.215
Calculated density in Mg/m³: 7.44
DOS at the Fermi energy in states/eV/f.u.: 9.2

Lattice parameters (Å, degrees): 6.8657 7.0626 7.0643 107.57 100.26 100.11
Closest atoms and distances in Å follow each position.
Space group P1 (No. 1)
Symmetry-distinct sites (fractional):
La  0.0000  0.0000  0.0000 x1  2 Rh 2.77-2.85
Pr  0.4209  0.3738  0.3699 x1  4 Rh 2.81-3.10
Pr  0.4355  0.8436  0.8390 x1  4 Rh 2.89-3.06
Pr  0.5439  0.3783  0.8915 x1  3 Rh 2.84-3.01
Pr  0.5450  0.8951  0.3739 x1  3 Rh 2.83-3.01
Pr  0.9835  0.3358  0.6550 x1  4 Rh 2.91-3.16
Pr  0.9840  0.6566  0.3338 x1  4 Rh 2.91-3.15
Rh  0.2518  0.0612  0.5634 x1  6 Pr 2.84-3.09
Rh  0.2516  0.5697  0.0578 x1  6 Pr 2.83-3.10
Rh  0.7275  0.2011  0.1972 x1  1 La 2.85, 6 Pr 2.89-3.16
Rh  0.7454  0.6733  0.6701 x1  1 La 2.77, 4 Pr 2.81-3.10



[9]
A geometry-optimized La4Pr3Rh4 structure, computed with PBE-GGA.

Summary:
Crystal system: orthorhombic
DFT total energy in eV per atom: -6.275
Calculated density in Mg/m³: 7.83
DOS at the Fermi energy in states/eV/f.u.: 9.0

Lattice parameters (Å, degrees): 4.8275 7.8031 15.6496 90.00 90.00 90.00
Closest atoms and distances in Å follow each position.
Space group Immm (No. 71)
Symmetry-distinct sites (fractional):
La  0.0000  0.2192  0.1653 x8  2 Rh 2.69-3.00
Pr  0.0000  0.0000  0.4040 x4  1 Pr 3.00, 4 Rh 3.19
Pr  0.0000  0.5000  0.5000 x2  6 Rh 3.20-3.45
Rh  0.0000  0.3158  0.0000 x4  2 La 2.69, 1 Rh 2.87
Rh  0.0000  0.5000  0.2958 x4  6 La 3.00-3.02, 1 Pr 3.20



[10]
A geometry-optimized La2PrRh structure, computed with PBE-GGA.

Summary:
Crystal system: trigonal
ΔE to the lowest computed polymorph in meV/atom: 91
Calculated density in Mg/m³: 6.48
DOS at the Fermi energy in states/eV/f.u.: 5.8

Lattice parameters (Å, degrees): 4.0250 4.0250 28.5864 90.00 90.00 120.00
Closest atoms and distances in Å follow each position.
Space group R3m (No. 160, hexagonal axes)
Symmetry-distinct sites (fractional):
La  0.0000  0.0000  0.0000 x3  3 Rh 2.87
La  0.0000  0.0000  0.2163 x3  3 Rh 2.85
Pr  0.0000  0.0000  0.4416 x3  6 La 3.86-3.87, 6 Pr 4.03
Rh  0.0000  0.0000  0.6076 x3  6 La 2.85-2.87



[11]
A geometry-optimized LaPr2Rh structure, computed with PBE-GGA.

Summary:
Crystal system: trigonal
ΔE to the lowest computed polymorph in meV/atom: 305
Calculated density in Mg/m³: 6.27
DOS at the Fermi energy in states/eV/f.u.: 5.6

Lattice parameters (Å, degrees): 3.8535 3.8535 32.3292 90.00 90.00 120.00
Closest atoms and distances in Å follow each position.
Space group R-3m (No. 166, hexagonal axes)
Symmetry-distinct sites (fractional):
La  0.0000  0.0000  0.0000 x3  2 Pr 3.63, 6 La 3.85
Pr  0.0000  0.0000  0.1124 x6  3 Rh 2.83
Rh  0.0000  0.0000  0.5000 x3  6 Pr 2.83



[12]
A geometry-optimized LaPr2Rh structure, computed with PBE-GGA.

Summary:
Crystal system: orthorhombic
ΔE to the lowest computed polymorph in meV/atom: 75
Calculated density in Mg/m³: 6.49
DOS at the Fermi energy in states/eV/f.u.: 3.8

Lattice parameters (Å, degrees): 6.9096 6.6005 11.7489 90.00 90.00 90.00
Closest atoms and distances in Å follow each position.
Space group Pnna (No. 52)
Symmetry-distinct sites (fractional):
La  0.0674  0.2500  0.2500 x4  2 Rh 2.78
Pr  0.0906  0.2435  0.5826 x8  2 Rh 2.88-2.90
Rh  0.2500  0.0000  0.0922 x4  2 La 2.78, 4 Pr 2.88-2.90